[1]
Computed, not measured: an optimized crystal structure of CaTb2Tl3Se6 at the PBE-GGA level of DFT.

Structure (CIF):
```
data_CaTb2Tl3Se6
_chemical_formula_sum 'Ca2 Tb4 Tl6 Se12'
_space_group_name_H-M_alt 'C 1 2/m 1'
_space_group_IT_number 12
_cell_length_a 7.358
_cell_length_b 12.745
_cell_length_c 7.885
_cell_angle_alpha 90.00
_cell_angle_beta 108.07
_cell_angle_gamma 90.00
loop_
_space_group_symop_operation_xyz
'x,y,z'
'-x,-y,-z'
'-x,y,-z'
'x,-y,z'
'x+1/2,y+1/2,z'
'-x+1/2,-y+1/2,-z'
'-x+1/2,y+1/2,-z'
'x+1/2,-y+1/2,z'
loop_
_atom_site_label
_atom_site_type_symbol
_atom_site_fract_x
_atom_site_fract_y
_atom_site_fract_z
_atom_site_occupancy
Ca1 Ca 0.000 0.000 0.000 1
Tb1 Tb 0.000 0.333 0.000 1
Tl1 Tl 0.000 0.165 0.500 1
Tl2 Tl 0.000 0.500 0.500 1
Se1 Se 0.227 0.500 0.210 1
Se2 Se 0.242 0.171 0.213 1
```

Its total energy is -4.5519 eV/atom.

=====

[2]
Computed, not measured: an optimized crystal structure of Pm2Pr9Tm at the PBE-GGA level of DFT.

Structure (CIF):
```
data_Pm2Pr9Tm
_chemical_formula_sum 'Pm2 Pr9 Tm1'
_space_group_name_H-M_alt 'P 4/m m m'
_space_group_IT_number 123
_space_group_name_Hall '-P 4 2'
_cell_length_a 5.209
_cell_length_b 5.209
_cell_length_c 15.626
_cell_angle_alpha 90.00
_cell_angle_beta 90.00
_cell_angle_gamma 90.00
loop_
_atom_site_label
_atom_site_type_symbol
_atom_site_fract_x
_atom_site_fract_y
_atom_site_fract_z
_atom_site_occupancy
Pm1 Pm 0.000 0.000 0.168 1
Pr1 Pr 0.000 0.500 0.000 1
Pr2 Pr 0.000 0.500 0.335 1
Pr3 Pr 0.500 0.500 0.168 1
Pr4 Pr 0.500 0.500 0.500 1
Tm1 Tm 0.000 0.000 0.500 1
```

For the calculated formation energy, the calculation gives 0.01 eV per atom.

=====

[3]
Computed, not measured: an optimized crystal structure of BaCeMg2Sn2 at the PBE-GGA level of DFT.

Structure (CIF):
```
data_BaCeMg2Sn2
_chemical_formula_sum 'Ba1 Ce1 Mg2 Sn2'
_space_group_name_H-M_alt 'P -3 m 1'
_space_group_IT_number 164
_space_group_name_Hall '-P 3 2"'
_cell_length_a 5.0422
_cell_length_b 5.0422
_cell_length_c 8.3160
_cell_angle_alpha 90.00
_cell_angle_beta 90.00
_cell_angle_gamma 120.00
loop_
_atom_site_label
_atom_site_type_symbol
_atom_site_fract_x
_atom_site_fract_y
_atom_site_fract_z
_atom_site_occupancy
Ba1 Ba 0.0000 0.0000 0.0000 1
Ce1 Ce 0.0000 0.0000 0.5000 1
Mg1 Mg 0.3333 0.6667 0.6908 1
Sn1 Sn 0.3333 0.6667 0.2812 1
```

For the calculated formation energy, the calculation gives -0.47 eV per atom.

=====

[4]
Computed, not measured: an optimized crystal structure of Tb2NdCd at the PBE-GGA level of DFT.

Structure (CIF):
```
data_Tb2NdCd
_chemical_formula_sum 'Tb8 Nd4 Cd4'
_space_group_name_H-M_alt 'F m -3 m'
_space_group_IT_number 225
_space_group_name_Hall '-F 4 2 3'
_cell_length_a 7.781
_cell_length_b 7.781
_cell_length_c 7.781
_cell_angle_alpha 90.00
_cell_angle_beta 90.00
_cell_angle_gamma 90.00
loop_
_atom_site_label
_atom_site_type_symbol
_atom_site_fract_x
_atom_site_fract_y
_atom_site_fract_z
_atom_site_occupancy
Tb1 Tb 0.250 0.250 0.250 1
Nd1 Nd 0.000 0.000 0.000 1
Cd1 Cd 0.000 0.000 0.500 1
```

The value obtained for the distance to the lowest polymorph of the same formula is 14.8 kJ/mol of atoms. For the calculated formation energy, the calculation gives 0.01 eV per atom.

=====

Repeat the fourth record exactly.
Computed, not measured: an optimized crystal structure of Tb2NdCd at the PBE-GGA level of DFT.

Structure (CIF):
```
data_Tb2NdCd
_chemical_formula_sum 'Tb8 Nd4 Cd4'
_space_group_name_H-M_alt 'F m -3 m'
_space_group_IT_number 225
_space_group_name_Hall '-F 4 2 3'
_cell_length_a 7.781
_cell_length_b 7.781
_cell_length_c 7.781
_cell_angle_alpha 90.00
_cell_angle_beta 90.00
_cell_angle_gamma 90.00
loop_
_atom_site_label
_atom_site_type_symbol
_atom_site_fract_x
_atom_site_fract_y
_atom_site_fract_z
_atom_site_occupancy
Tb1 Tb 0.250 0.250 0.250 1
Nd1 Nd 0.000 0.000 0.000 1
Cd1 Cd 0.000 0.000 0.500 1
```

The value obtained for the distance to the lowest polymorph of the same formula is 14.8 kJ/mol of atoms. For the calculated formation energy, the calculation gives 0.01 eV per atom.